The following is a GGA+U calculation of a geometry-optimized Ac2MnCoO6 structure, from the Alexandria database.

a b c (Å): 5.621 5.621 5.621
angles (deg): 59.76 59.76 59.76
Sites, in units of the cell vectors:
1 Ac 0.249 0.249 0.249
2 Ac 0.751 0.751 0.751
3 Mn 0.000 0.000 0.000
4 Co 0.500 0.500 0.500
5 O 0.244 0.244 0.755
6 O 0.244 0.755 0.244
7 O 0.245 0.756 0.756
8 O 0.755 0.244 0.244
9 O 0.756 0.245 0.756
10 O 0.756 0.756 0.245

Values from the calculation:
* total DFT energy (no corrections): -74.76 eV per formula unit
* space group: R-3m (166)